Run P
A geometry-optimized Sr2ReAu structure, computed with GGA-PBE.

Symmetry: No. 225

a = 5.348 Å, b = 5.348 Å, c = 5.348 Å
α = 60.00°, β = 60.00°, γ = 60.00°
Site moments in Bohr magnetons follow the coordinates.
Sites, in units of the cell vectors:
Au (0.500, 0.500, 0.500)  -0.01
Re (0.000, 0.000, 0.000)  1.85
Sr (0.250, 0.250, 0.250)  -0.01
Sr (0.750, 0.750, 0.750)  -0.01

---

Run Q
A geometry-optimized Sr2ReAu structure, computed with GGA-PBE.

Symmetry: No. 8

a = 6.175 Å, b = 6.175 Å, c = 5.670 Å
α = 72.93°, β = 72.93°, γ = 29.73°
Sites, in units of the cell vectors:
Sr (0.778, 0.778, 0.687)
Sr (0.971, 0.971, 0.067)
Re (0.213, 0.213, 0.221)
Au (0.538, 0.538, 0.525)

---

Run R
A geometry-optimized Sr2ReAu structure, computed with GGA-PBE.

Symmetry: No. 119

a = 6.002 Å, b = 6.002 Å, c = 6.002 Å
α = 135.64°, β = 135.64°, γ = 64.54°
Site moments in Bohr magnetons follow the coordinates.
Sites, in units of the cell vectors:
Sr (0.000, 0.000, 0.000)  -0.01
Sr (0.250, 0.750, 0.500)  -0.02
Re (0.750, 0.250, 0.500)  1.86
Au (0.500, 0.500, 0.000)  0.02

---

run Q is the most stable structure; the next one sits 0.162 eV/atom above it.

---

Run P
A geometry-optimized SrReAu2 structure, computed with GGA-PBE.

Symmetry: No. 122

a = 5.326 Å, b = 5.326 Å, c = 9.013 Å
α = 72.81°, β = 72.81°, γ = 90.00°
Sites, in units of the cell vectors:
Re (0.750, 0.250, 0.500)
Re (0.000, 0.000, 0.000)
Sr (0.500, 0.500, 0.000)
Sr (0.250, 0.750, 0.500)
Au (0.375, 0.252, 0.750)
Au (0.002, 0.625, 0.250)
Au (0.875, 0.998, 0.750)
Au (0.748, 0.125, 0.250)

---

Run Q
A geometry-optimized SrReAu2 structure, computed with GGA-PBE.

Symmetry: No. 47

a = 2.938 Å, b = 4.049 Å, c = 6.968 Å
α = 90.00°, β = 90.00°, γ = 90.00°
Site moments in Bohr magnetons follow the coordinates.
Sites, in units of the cell vectors:
Sr (0.500, 0.500, 0.750)  0.01
Au (0.000, 0.000, 0.450)  0.04
Au (0.000, 0.000, 0.050)  0.04
Re (0.500, 0.500, 0.250)  0.69

---

Run R
A geometry-optimized SrReAu2 structure, computed with GGA-PBE.

Symmetry: No. 216

a = 4.928 Å, b = 4.928 Å, c = 4.928 Å
α = 60.00°, β = 60.00°, γ = 60.00°
Site moments in Bohr magnetons follow the coordinates.
Sites, in units of the cell vectors:
Re (0.500, 0.500, 0.500)  2.53
Au (0.000, 0.000, 0.000)  0.02
Au (0.750, 0.750, 0.750)  0.14
Sr (0.250, 0.250, 0.250)  0.06

---

Run S
A geometry-optimized SrReAu2 structure, computed with GGA-PBE.

Symmetry: No. 119

a = 5.592 Å, b = 5.592 Å, c = 5.592 Å
α = 135.60°, β = 135.60°, γ = 64.60°
Site moments in Bohr magnetons follow the coordinates.
Sites, in units of the cell vectors:
Au (0.250, 0.750, 0.500)  0.04
Au (0.000, 0.000, 0.000)  0.05
Sr (0.750, 0.250, 0.500)  0.04
Re (0.500, 0.500, 0.000)  2.15

---

run Q is the most stable structure; the next one sits 0.233 eV/atom above it.

---

Run P
A geometry-optimized SrReAu2 structure, computed with GGA-PBE.

Symmetry: No. 99

a = 3.525 Å, b = 3.525 Å, c = 6.996 Å
α = 90.00°, β = 90.00°, γ = 90.00°
Site moments in Bohr magnetons follow the coordinates.
Sites, in units of the cell vectors:
Sr (0.500, 0.500, 0.753)  0.01
Au (0.500, 0.500, 0.275)  0.06
Au (0.000, 0.000, 0.038)  0.02
Re (0.000, 0.000, 0.434)  0.70

---

Run Q
A geometry-optimized SrReAu2 structure, computed with GGA-PBE.

Symmetry: No. 65

a = 7.570 Å, b = 5.121 Å, c = 3.059 Å
α = 89.98°, β = 66.21°, γ = 128.28°
Site moments in Bohr magnetons follow the coordinates.
Sites, in units of the cell vectors:
Re (0.000, 0.500, 0.500)  0.45
Au (0.500, 0.000, 0.500)  0.02
Au (0.000, 0.000, 0.000)  0.02
Sr (0.500, 0.500, 0.000)  -0.01

---

run Q is the most stable structure; the next one sits 0.149 eV/atom above it.

---

Run P
A geometry-optimized SrReAu structure, computed with GGA-PBE.

Symmetry: No. 216

a = 5.012 Å, b = 5.012 Å, c = 5.012 Å
α = 60.00°, β = 60.00°, γ = 60.00°
Site moments in Bohr magnetons follow the coordinates.
Sites, in units of the cell vectors:
Sr (0.750, 0.750, 0.750)  0.06
Re (0.500, 0.500, 0.500)  3.12
Au (0.000, 0.000, 0.000)  0.10

---

Run Q
A geometry-optimized SrReAu structure, computed with GGA-PBE.

Symmetry: No. 156

a = 2.994 Å, b = 2.994 Å, c = 7.793 Å
α = 90.00°, β = 90.00°, γ = 120.00°
Sites, in units of the cell vectors:
Sr (0.333, 0.667, 0.662)
Au (0.000, 0.000, 0.022)
Re (0.667, 0.333, 0.317)

---

Run R
A geometry-optimized SrReAu structure, computed with GGA-PBE.

Symmetry: No. 44

a = 6.107 Å, b = 6.107 Å, c = 6.107 Å
α = 151.96°, β = 139.93°, γ = 49.62°
Sites, in units of the cell vectors:
Sr (0.666, 0.666, 0.000)
Au (0.955, 0.955, 0.000)
Re (0.379, 0.379, 0.000)

---

Run S
A geometry-optimized SrReAu structure, computed with GGA-PBE.

Symmetry: No. 187

a = 4.942 Å, b = 4.942 Å, c = 3.003 Å
α = 90.00°, β = 90.00°, γ = 120.00°
Site moments in Bohr magnetons follow the coordinates.
Sites, in units of the cell vectors:
Au (0.000, 0.000, 0.167)  0.01
Sr (0.333, 0.667, 0.667)  0.00
Re (0.667, 0.333, 0.166)  0.11

---

run R is the most stable structure; the next one sits 0.125 eV/atom above it.

---

Run P
A geometry-optimized SrReAu structure, computed with GGA-PBE.

Symmetry: No. 216

a = 4.877 Å, b = 4.877 Å, c = 4.877 Å
α = 60.00°, β = 60.00°, γ = 60.00°
Site moments in Bohr magnetons follow the coordinates.
Sites, in units of the cell vectors:
Re (0.000, 0.000, 0.000)  2.78
Sr (0.500, 0.500, 0.500)  0.01
Au (0.750, 0.750, 0.750)  0.13

---

Run Q
A geometry-optimized SrReAu structure, computed with GGA-PBE.

Symmetry: No. 107

a = 7.411 Å, b = 7.411 Å, c = 2.934 Å
α = 78.58°, β = 78.59°, γ = 22.83°
Sites, in units of the cell vectors:
Sr (0.669, 0.669, 0.331)
Re (0.347, 0.347, 0.653)
Au (0.984, 0.984, 0.016)

---

run Q is the most stable structure; the next one sits 0.366 eV/atom above it.

---

Run P
A geometry-optimized Ta3ReAu structure, computed with GGA-PBE.

Symmetry: No. 221

a = 4.838 Å, b = 4.838 Å, c = 4.838 Å
α = 90.00°, β = 90.00°, γ = 90.00°
Site moments in Bohr magnetons follow the coordinates.
Sites, in units of the cell vectors:
Ta (0.000, 0.500, 0.000)  -0.05
Ta (0.000, 0.000, 0.500)  -0.07
Ta (0.500, 0.000, 0.000)  -0.05
Au (0.000, 0.000, 0.000)  0.00
Re (0.500, 0.500, 0.500)  0.59

---

Run Q
A geometry-optimized Ta3ReAu structure, computed with GGA-PBE.

Symmetry: No. 221

a = 4.826 Å, b = 4.826 Å, c = 4.826 Å
α = 90.00°, β = 90.00°, γ = 90.00°
Sites, in units of the cell vectors:
Ta (0.000, 0.000, 0.500)
Ta (0.500, 0.000, 0.000)
Ta (0.000, 0.500, 0.000)
Au (0.500, 0.500, 0.500)
Re (0.000, 0.000, 0.000)

---

run Q is the most stable structure; the next one sits 0.936 eV/atom above it.

---

Run P
A geometry-optimized Ta2ReAu structure, computed with GGA-PBE.

Symmetry: No. 216

a = 4.590 Å, b = 4.590 Å, c = 4.590 Å
α = 60.00°, β = 60.00°, γ = 60.00°
Sites, in units of the cell vectors:
Re (0.750, 0.750, 0.750)
Ta (0.000, 0.000, 0.000)
Ta (0.250, 0.250, 0.250)
Au (0.500, 0.500, 0.500)

---

Run Q
A geometry-optimized Ta2ReAu structure, computed with GGA-PBE.

Symmetry: No. 123

a = 4.238 Å, b = 4.237 Å, c = 3.786 Å
α = 90.00°, β = 90.00°, γ = 90.00°
Sites, in units of the cell vectors:
Au (0.500, 0.000, 0.500)
Ta (0.500, 0.500, 0.000)
Ta (0.000, 0.000, 0.000)
Re (0.000, 0.500, 0.500)

---

Run R
A geometry-optimized Ta2ReAu structure, computed with GGA-PBE.

Symmetry: No. 10

a = 4.146 Å, b = 2.867 Å, c = 6.175 Å
α = 69.65°, β = 90.00°, γ = 90.00°
Sites, in units of the cell vectors:
Ta (0.000, 0.560, 0.515)
Ta (0.000, 0.940, 0.985)
Au (0.500, 0.250, 0.250)
Re (0.500, 0.750, 0.750)

---

Run S
A geometry-optimized Ta2ReAu structure, computed with GGA-PBE.

Symmetry: No. 139

a = 4.862 Å, b = 4.862 Å, c = 4.862 Å
α = 128.72°, β = 128.73°, γ = 75.45°
Sites, in units of the cell vectors:
Ta (0.000, 0.000, 0.000)
Ta (0.500, 0.500, 0.000)
Au (0.750, 0.250, 0.500)
Re (0.250, 0.750, 0.500)

---

run S is the most stable structure; the next one sits 0.016 eV/atom above it.

---

Run P
A geometry-optimized Ta2ReAu structure, computed with GGA-PBE.

Symmetry: No. 12

a = 4.907 Å, b = 4.907 Å, c = 5.034 Å
α = 81.04°, β = 81.04°, γ = 35.13°
Sites, in units of the cell vectors:
Ta (0.997, 0.997, 0.997)
Ta (0.503, 0.503, 0.503)
Au (0.250, 0.250, 0.250)
Re (0.750, 0.750, 0.750)

---

Run Q
A geometry-optimized Ta2ReAu structure, computed with GGA-PBE.

Symmetry: No. 99

a = 3.348 Å, b = 3.348 Å, c = 6.132 Å
α = 90.00°, β = 90.00°, γ = 90.00°
Sites, in units of the cell vectors:
Ta (0.500, 0.500, 0.252)
Ta (0.000, 0.000, 0.986)
Re (0.500, 0.500, 0.766)
Au (0.000, 0.000, 0.495)

---

run Q is the most stable structure; the next one sits 0.142 eV/atom above it.

---

Run P
A geometry-optimized Ta2ReAu structure, computed with GGA-PBE.

Symmetry: No. 225

a = 4.606 Å, b = 4.606 Å, c = 4.606 Å
α = 60.00°, β = 60.00°, γ = 60.00°
Sites, in units of the cell vectors:
Au (0.500, 0.500, 0.500)
Ta (0.250, 0.250, 0.250)
Ta (0.750, 0.750, 0.750)
Re (0.000, 0.000, 0.000)

---

Run Q
A geometry-optimized Ta2ReAu structure, computed with GGA-PBE.

Symmetry: No. 122

a = 7.317 Å, b = 7.317 Å, c = 5.884 Å
α = 51.56°, β = 51.56°, γ = 90.00°
Sites, in units of the cell vectors:
Ta (0.875, 0.854, 0.750)
Ta (0.146, 0.625, 0.250)
Ta (0.604, 0.125, 0.250)
Ta (0.375, 0.396, 0.750)
Au (0.000, 0.000, 0.000)
Au (0.750, 0.250, 0.500)
Re (0.500, 0.500, 0.000)
Re (0.250, 0.750, 0.500)

---

Run R
A geometry-optimized Ta2ReAu structure, computed with GGA-PBE.

Symmetry: No. 44

a = 5.347 Å, b = 5.347 Å, c = 5.347 Å
α = 143.29°, β = 129.98°, γ = 63.62°
Sites, in units of the cell vectors:
Ta (0.011, 0.011, 0.000)
Ta (0.757, 0.257, 0.500)
Re (0.237, 0.737, 0.500)
Au (0.495, 0.495, 0.000)

---

run P is the most stable structure; the next one sits 0.006 eV/atom above it.

---

Run P
A geometry-optimized Ta2ReAu structure, computed with GGA-PBE.

Symmetry: No. 6

a = 4.695 Å, b = 2.853 Å, c = 5.190 Å
α = 83.12°, β = 90.00°, γ = 90.00°
Sites, in units of the cell vectors:
Ta (0.500, 0.228, 0.279)
Ta (0.000, 0.993, 0.956)
Au (0.000, 0.639, 0.469)
Re (0.500, 0.640, 0.796)

---

Run Q
A geometry-optimized Ta2ReAu structure, computed with GGA-PBE.

Symmetry: No. 123

a = 3.189 Å, b = 3.189 Å, c = 6.835 Å
α = 90.00°, β = 90.00°, γ = 90.00°
Sites, in units of the cell vectors:
Ta (0.000, 0.000, 0.980)
Ta (0.000, 0.000, 0.520)
Re (0.500, 0.500, 0.750)
Au (0.500, 0.500, 0.250)

---

run Q is the most stable structure; the next one sits 0.104 eV/atom above it.

---

Run P
A geometry-optimized Ta2ReAu structure, computed with GGA-PBE.

Symmetry: No. 160

a = 10.024 Å, b = 10.024 Å, c = 10.024 Å
α = 16.32°, β = 16.32°, γ = 16.32°
Sites, in units of the cell vectors:
Ta (0.003, 0.003, 0.003)
Ta (0.248, 0.248, 0.248)
Re (0.751, 0.751, 0.751)
Au (0.499, 0.499, 0.499)

---

Run Q
A geometry-optimized Ta2ReAu structure, computed with GGA-PBE.

Symmetry: No. 35

a = 2.810 Å, b = 2.810 Å, c = 9.241 Å
α = 90.00°, β = 90.00°, γ = 108.92°
Sites, in units of the cell vectors:
Au (0.000, 0.000, 0.501)
Ta (0.000, 0.000, 0.990)
Ta (0.500, 0.500, 0.248)
Re (0.500, 0.500, 0.760)

---

run Q is the most stable structure; the next one sits 0.207 eV/atom above it.